[1]
# TbMgZn2 GGA-PBEsol relaxed
# - DFT formation energy (eV per atom) = -0.34
data_TbMgZn2
_chemical_formula_sum 'Tb4 Mg4 Zn8'
_symmetry_space_group_name_H-M 'F m -3 m'
_symmetry_Int_Tables_number 225
_symmetry_space_group_name_Hall '-F 4 2 3'
_cell_length_a 6.734
_cell_length_b 6.734
_cell_length_c 6.734
_cell_angle_alpha 90.00
_cell_angle_beta 90.00
_cell_angle_gamma 90.00
loop_
_atom_site_label
_atom_site_fract_x
_atom_site_fract_y
_atom_site_fract_z
Tb1 0.000 0.000 0.000
Mg1 0.000 0.000 0.500
Zn1 0.250 0.250 0.250

=====

[2]
# BaRu2Au GGA-PBEsol relaxed
# - DFT formation energy (eV per atom) = 0.55
data_BaRu2Au
_chemical_formula_sum 'Ba1 Ru2 Au1'
_symmetry_space_group_name_H-M 'P 1 2/m 1'
_symmetry_Int_Tables_number 10
_symmetry_space_group_name_Hall '-P 2y'
_cell_length_a 4.175
_cell_length_b 4.684
_cell_length_c 5.091
_cell_angle_alpha 90.00
_cell_angle_beta 98.30
_cell_angle_gamma 90.00
loop_
_atom_site_label
_atom_site_fract_x
_atom_site_fract_y
_atom_site_fract_z
Ba1 0.000 0.000 0.000
Ru1 0.258 0.500 0.602
Au1 0.500 0.000 0.500

=====

[3]
# InPSN2 GGA-PBEsol relaxed
# - E (eV per atom) = -4.27
data_InPSN2
_chemical_formula_sum 'In1 P1 S1 N2'
_symmetry_space_group_name_H-M 'P 4/m m m'
_symmetry_Int_Tables_number 123
_symmetry_space_group_name_Hall '-P 4 2'
_cell_length_a 4.111
_cell_length_b 4.111
_cell_length_c 5.273
_cell_angle_alpha 90.00
_cell_angle_beta 90.00
_cell_angle_gamma 90.00
loop_
_atom_site_label
_atom_site_fract_x
_atom_site_fract_y
_atom_site_fract_z
In1 0.000 0.000 0.000
P1 0.500 0.500 0.500
S1 0.000 0.000 0.500
N1 0.000 0.500 0.000

=====

[4]
# NbRuSeN2 GGA-PBEsol relaxed
# - E (eV per atom) = -7.59
data_NbRuSeN2
_chemical_formula_sum 'Nb1 Ru1 Se1 N2'
_symmetry_space_group_name_H-M 'P 4/m m m'
_symmetry_Int_Tables_number 123
_symmetry_space_group_name_Hall '-P 4 2'
_cell_length_a 3.784
_cell_length_b 3.784
_cell_length_c 5.072
_cell_angle_alpha 90.00
_cell_angle_beta 90.00
_cell_angle_gamma 90.00
loop_
_atom_site_label
_atom_site_fract_x
_atom_site_fract_y
_atom_site_fract_z
Nb1 0.000 0.000 0.000
Ru1 0.500 0.500 0.500
Se1 0.500 0.500 0.000
N1 0.000 0.500 0.500

=====

[5]
# MgSnBr3 GGA-PBEsol relaxed
# - E (eV per atom) = -2.73
data_MgSnBr3
_chemical_formula_sum 'Mg1 Sn1 Br3'
_symmetry_space_group_name_H-M 'P m -3 m'
_symmetry_Int_Tables_number 221
_symmetry_space_group_name_Hall '-P 4 2 3'
_cell_length_a 5.651
_cell_length_b 5.651
_cell_length_c 5.651
_cell_angle_alpha 90.00
_cell_angle_beta 90.00
_cell_angle_gamma 90.00
loop_
_atom_site_label
_atom_site_fract_x
_atom_site_fract_y
_atom_site_fract_z
Mg1 0.000 0.000 0.000
Sn1 0.500 0.500 0.500
Br1 0.000 0.500 0.500

=====

[6]
# La2SeCl GGA-PBEsol relaxed
# - E (eV per atom) = -5.95
data_La2SeCl
_chemical_formula_sum 'La2 Se1 Cl1'
_symmetry_space_group_name_H-M 'P 4/m m m'
_symmetry_Int_Tables_number 123
_symmetry_space_group_name_Hall '-P 4 2'
_cell_length_a 4.175
_cell_length_b 4.175
_cell_length_c 5.884
_cell_angle_alpha 90.00
_cell_angle_beta 90.00
_cell_angle_gamma 90.00
loop_
_atom_site_label
_atom_site_fract_x
_atom_site_fract_y
_atom_site_fract_z
La1 0.000 0.000 0.000
La2 0.500 0.500 0.500
Se1 0.000 0.000 0.500
Cl1 0.500 0.500 0.000

=====

no.,mass density (g/cm³)
1,6.83
2,9.04
3,3.84
4,6.88
5,3.52
6,6.35